Record 1
A plane-wave DFT calculation with SCAN was carried out for SeN2ClF at its PBEsol-relaxed geometry.

a = 3.8601 Å, b = 3.9324 Å, c = 3.9324 Å
α = 90.00°, β = 90.00°, γ = 90.00°
Closest atoms and distances in Å follow each position.
Atoms (fractional coordinates):
N  0.0000  0.0000  0.5000  2 Cl 1.97
N  0.0000  0.5000  0.0000  2 Cl 1.97
F  0.5000  0.0000  0.0000  2 Cl 1.93
Se  0.5000  0.5000  0.5000  8 N 2.76, 4 F 2.78
Cl  0.0000  0.0000  0.0000  2 F 1.93, 4 N 1.97

Properties
Formation energy from raw total energies (meV/atom): 2088
Magnetic moment (μB per formula unit): 0.00


Record 2
A plane-wave DFT calculation with SCAN was carried out for SnN2ClF at its PBEsol-relaxed geometry.

a = 4.1198 Å, b = 4.2425 Å, c = 4.2425 Å
α = 90.00°, β = 90.00°, γ = 90.00°
Closest atoms and distances in Å follow each position.
Atoms (fractional coordinates):
N  0.0000  0.0000  0.5000  2 Sn 2.12
N  0.0000  0.5000  0.0000  2 Sn 2.12
F  0.5000  0.0000  0.0000  2 Sn 2.06
Sn  0.0000  0.0000  0.0000  2 F 2.06, 4 N 2.12
Cl  0.5000  0.5000  0.5000  8 N 2.96, 4 F 3.00

Properties
Formation energy from raw total energies (meV/atom): 462
Magnetic moment (μB per formula unit): 4.00


Record 3
A plane-wave DFT calculation with SCAN was carried out for TeN2ClF at its PBEsol-relaxed geometry.

a = 3.5228 Å, b = 3.5228 Å, c = 7.2251 Å
α = 90.00°, β = 90.00°, γ = 90.00°
Closest atoms and distances in Å follow each position.
Atoms (fractional coordinates):
N  0.0000  0.5000  0.0000  2 Cl 1.76
N  0.5000  0.0000  0.0000  2 Cl 1.76
F  0.5000  0.5000  0.5000  4 Te 2.49
Te  0.0000  0.0000  0.5000  4 F 2.49
Cl  0.0000  0.0000  0.0000  4 N 1.76

Properties
Formation energy from raw total energies (meV/atom): 1990
Magnetic moment (μB per formula unit): 0.00


Record 4
A plane-wave DFT calculation with SCAN was carried out for WN2ClF at its PBEsol-relaxed geometry.

a = 3.9400 Å, b = 3.9400 Å, c = 4.0448 Å
α = 90.00°, β = 90.00°, γ = 90.00°
Closest atoms and distances in Å follow each position.
Atoms (fractional coordinates):
N  0.0000  0.5000  0.0000  2 W 1.97
N  0.5000  0.0000  0.0000  2 W 1.97
F  0.0000  0.0000  0.5000  2 W 2.02
W  0.0000  0.0000  0.0000  4 N 1.97, 2 F 2.02
Cl  0.5000  0.5000  0.5000  4 F 2.79, 8 N 2.82

Properties
Formation energy from raw total energies (meV/atom): -4
Magnetic moment (μB per formula unit): 0.00


Record 5
A plane-wave DFT calculation with SCAN was carried out for YN2ClF at its PBEsol-relaxed geometry.

a = 3.8765 Å, b = 3.8765 Å, c = 4.0603 Å
α = 90.00°, β = 90.00°, γ = 90.00°
Closest atoms and distances in Å follow each position.
Atoms (fractional coordinates):
Y  0.5000  0.5000  0.5000  4 F 2.74, 8 N 2.81
N  0.0000  0.5000  0.0000  2 Cl 1.94
N  0.5000  0.0000  0.0000  2 Cl 1.94
F  0.0000  0.0000  0.5000  2 Cl 2.03
Cl  0.0000  0.0000  0.0000  4 N 1.94, 2 F 2.03

Properties
Formation energy from raw total energies (meV/atom): 271
Magnetic moment (μB per formula unit): 0.00


Record 6
A plane-wave DFT calculation with SCAN was carried out for Na6S2ClO8F at its PBEsol-relaxed geometry.

a = 7.1154 Å, b = 7.1154 Å, c = 7.1154 Å
α = 60.00°, β = 60.00°, γ = 60.00°
Closest atoms and distances in Å follow each position.
Atoms (fractional coordinates):
Na  0.7774  0.2226  0.2226  1 F 2.24, 4 O 2.41
Na  0.7774  0.2226  0.7774  1 F 2.24, 4 O 2.41
Na  0.7774  0.7774  0.2226  1 F 2.24, 4 O 2.41
Na  0.2226  0.7774  0.7774  1 F 2.24, 4 O 2.41
Na  0.2226  0.2226  0.7774  1 F 2.24, 4 O 2.41
Na  0.2226  0.7774  0.2226  1 F 2.24, 4 O 2.41
S  0.7500  0.7500  0.7500  4 O 1.49
S  0.2500  0.2500  0.2500  4 O 1.49
Cl  0.5000  0.5000  0.5000  6 Na 2.79
O  0.1646  0.1646  0.5062  1 S 1.49
O  0.8354  0.4938  0.8354  1 S 1.49
O  0.4938  0.8354  0.8354  1 S 1.49
O  0.8354  0.8354  0.8354  1 S 1.49
O  0.5062  0.1646  0.1646  1 S 1.49
O  0.1646  0.1646  0.1646  1 S 1.49
O  0.1646  0.5062  0.1646  1 S 1.49
O  0.8354  0.8354  0.4938  1 S 1.49
F  0.0000  0.0000  0.0000  6 Na 2.24

Properties
Formation energy from raw total energies (meV/atom): -2151
Magnetic moment (μB per formula unit): 0.00


Record 7
A plane-wave DFT calculation with SCAN was carried out for NaSCl2F at its PBEsol-relaxed geometry.

a = 4.9807 Å, b = 4.9807 Å, c = 5.6082 Å
α = 90.00°, β = 90.00°, γ = 90.00°
Closest atoms and distances in Å follow each position.
Atoms (fractional coordinates):
Na  0.0000  0.0000  0.0000  4 Cl 2.49
S  0.0000  0.0000  0.5000  2 Na 2.80
F  0.5000  0.5000  0.5000  4 S 3.52, 8 Cl 3.75
Cl  0.0000  0.5000  0.0000  2 Na 2.49
Cl  0.5000  0.0000  0.0000  2 Na 2.49

Properties
Formation energy from raw total energies (meV/atom): 117
Magnetic moment (μB per formula unit): 4.00


Record 8
A plane-wave DFT calculation with SCAN was carried out for NaTl2ClF at its PBEsol-relaxed geometry.

a = 5.5377 Å, b = 5.5377 Å, c = 5.9911 Å
α = 90.00°, β = 90.00°, γ = 90.00°
Closest atoms and distances in Å follow each position.
Atoms (fractional coordinates):
Na  0.5000  0.5000  0.5000  4 F 3.92, 8 Tl 4.08
Tl  0.0000  0.5000  0.0000  2 Cl 2.77
Tl  0.5000  0.0000  0.0000  2 Cl 2.77
F  0.0000  0.0000  0.5000  2 Cl 3.00
Cl  0.0000  0.0000  0.0000  4 Tl 2.77, 2 F 3.00

Properties
Formation energy from raw total energies (meV/atom): -531
Magnetic moment (μB per formula unit): 0.00


Record 9
A plane-wave DFT calculation with SCAN was carried out for Nb2ClF at its PBEsol-relaxed geometry.

a = 4.2712 Å, b = 4.2712 Å, c = 4.2712 Å
α = 60.00°, β = 60.00°, γ = 60.00°
Closest atoms and distances in Å follow each position.
Atoms (fractional coordinates):
Nb  0.2500  0.2500  0.2500  4 Cl 2.62, 4 F 2.62
Nb  0.7500  0.7500  0.7500  4 F 2.62, 4 Cl 2.62
F  0.0000  0.0000  0.0000  8 Nb 2.62
Cl  0.5000  0.5000  0.5000  8 Nb 2.62

Properties
Formation energy from raw total energies (meV/atom): -30
Magnetic moment (μB per formula unit): 1.15


Record 10
A plane-wave DFT calculation with SCAN was carried out for NbClF8 at its PBEsol-relaxed geometry.

a = 5.9450 Å, b = 9.9862 Å, c = 10.5660 Å
α = 90.00°, β = 90.00°, γ = 90.00°
Closest atoms and distances in Å follow each position.
Atoms (fractional coordinates):
Nb  0.3853  0.0000  0.7500  6 F 1.88-2.02
Nb  0.6147  0.5000  0.7500  6 F 1.88-2.02
Nb  0.3853  0.5000  0.2500  6 F 1.88-2.02
Nb  0.6147  0.0000  0.2500  6 F 1.88-2.02
Cl  0.0000  0.2500  0.0513  2 F 1.62
Cl  0.0000  0.2500  0.5513  2 F 1.62
Cl  0.0000  0.7500  0.9487  2 F 1.62
Cl  0.0000  0.7500  0.4487  2 F 1.62
F  0.8848  0.1530  0.9467  1 Cl 1.62
F  0.1152  0.6530  0.5533  1 Cl 1.62
F  0.3964  0.8791  0.3081  1 Nb 1.88
F  0.6036  0.1209  0.6919  1 Nb 1.88
F  0.6036  0.8791  0.8081  1 Nb 1.88
F  0.8621  0.3759  0.6912  1 Nb 2.02, 1 Cl 2.11
F  0.3481  0.9139  0.5910  1 Nb 1.90
F  0.1379  0.3759  0.1912  1 Nb 2.02, 1 Cl 2.11
F  0.3964  0.6209  0.8081  1 Nb 1.88
F  0.3481  0.5861  0.0910  1 Nb 1.90
F  0.1379  0.8759  0.8088  1 Nb 2.02, 1 Cl 2.11
F  0.3481  0.4139  0.4090  1 Nb 1.90
F  0.3964  0.1209  0.1919  1 Nb 1.88
F  0.8621  0.6241  0.8088  1 Nb 2.02, 1 Cl 2.11
F  0.1379  0.1241  0.6912  1 Nb 2.02, 1 Cl 2.11
F  0.1152  0.8470  0.0533  1 Cl 1.62
F  0.6519  0.4139  0.9090  1 Nb 1.90
F  0.8848  0.8470  0.5533  1 Cl 1.62
F  0.6036  0.3791  0.1919  1 Nb 1.88
F  0.8848  0.3470  0.4467  1 Cl 1.62
F  0.6519  0.9139  0.0910  1 Nb 1.90
F  0.6519  0.0861  0.4090  1 Nb 1.90
F  0.1379  0.6241  0.3088  1 Nb 2.02, 1 Cl 2.11
F  0.6036  0.6209  0.3081  1 Nb 1.88
F  0.1152  0.3470  0.9467  1 Cl 1.62
F  0.8848  0.6530  0.0533  1 Cl 1.62
F  0.1152  0.1530  0.4467  1 Cl 1.62
F  0.8621  0.8759  0.3088  1 Nb 2.02, 1 Cl 2.11
F  0.3481  0.0861  0.9090  1 Nb 1.90
F  0.3964  0.3791  0.6919  1 Nb 1.88
F  0.8621  0.1241  0.1912  1 Nb 2.02, 1 Cl 2.11
F  0.6519  0.5861  0.5910  1 Nb 1.90

Properties
Formation energy from raw total energies (meV/atom): -2115
Magnetic moment (μB per formula unit): 0.00


Record 11
A plane-wave DFT calculation with SCAN was carried out for NiClF2 at its PBEsol-relaxed geometry.

a = 2.6974 Å, b = 2.6974 Å, c = 9.3663 Å
α = 81.72°, β = 81.72°, γ = 60.00°
Closest atoms and distances in Å follow each position.
Atoms (fractional coordinates):
Ni  0.0000  0.0000  0.0000  2 F 1.70
F  0.9387  0.9387  0.1839  1 Ni 1.70
F  0.0613  0.0613  0.8161  1 Ni 1.70
Cl  0.5000  0.5000  0.5000  6 Cl 2.70

Properties
Formation energy from raw total energies (meV/atom): -600
Magnetic moment (μB per formula unit): 1.91


Record 12
A plane-wave DFT calculation with SCAN was carried out for NiPCl2F at its PBEsol-relaxed geometry.

a = 4.4155 Å, b = 4.4155 Å, c = 4.3243 Å
α = 90.00°, β = 90.00°, γ = 90.00°
Closest atoms and distances in Å follow each position.
Atoms (fractional coordinates):
Ni  0.0000  0.0000  0.0000  2 P 2.16, 4 Cl 2.21
F  0.5000  0.5000  0.5000  8 Cl 3.09, 4 P 3.12
P  0.0000  0.0000  0.5000  2 Ni 2.16
Cl  0.0000  0.5000  0.0000  2 Ni 2.21
Cl  0.5000  0.0000  0.0000  2 Ni 2.21

Properties
Formation energy from raw total energies (meV/atom): 54
Magnetic moment (μB per formula unit): 0.00